Computed, not measured: a PBEsol-optimized structure of BeSi2Au at the meta-GGA SCAN level of DFT.

## Properties
- Formation energy from raw total energies: 1.05 eV/f.u.
- Calculated total energy: -23.12 eV/atom
- Mass density: 7.54 Mg/m³

a = 4.999 Å, b = 5.081 Å, c = 4.547 Å
α = 90.00°, β = 90.00°, γ = 90.00°
Space group Cmmm (No. 65)
Unique sites:
Be: 0.000 0.000 0.000 [2 per cell]
Si: 0.242 0.000 0.500 [4 per cell]
Au: 0.000 0.500 0.000 [2 per cell]

Computed, not measured: a PBEsol-optimized structure of BeSi2Au at the meta-GGA SCAN level of DFT.

## Properties
- Formation energy from raw total energies: 1.83 eV/f.u.
- Calculated total energy: -22.93 eV/atom
- Mass density: 7.74 Mg/m³

a = 3.824 Å, b = 3.824 Å, c = 7.693 Å
α = 90.00°, β = 90.00°, γ = 90.00°
Space group I4/mmm (No. 139)
Unique sites:
Be: 0.000 0.000 0.000 [2 per cell]
Si: 0.000 0.500 0.250 [4 per cell]
Au: 0.000 0.000 0.500 [2 per cell]